# 1
Material: SrCrAg2
Method: DFT, GGA-PBE
State: relaxed

N(E_F): 1.7 states/eV/f.u.
calculated total energy: -3.968 eV per atom
V: 23.97 Å³/atom

abc: 3.8318 4.7961 5.2182
angles: 90.00 90.00 90.00
Last column: nearest neighbours and their distance in Å.
Positions (direct):
Sr 0.0000 0.0000 0.0000  8 Ag 3.16-3.24, 2 Cr 3.38
Cr 0.0000 0.5000 0.4574  6 Ag 2.83-3.08
Ag 0.5000 0.0000 0.4995  2 Ag 3.04, 4 Cr 3.08, 4 Sr 3.23-3.24
Ag 0.5000 0.5000 0.8566  2 Cr 2.83, 2 Ag 3.04, 4 Sr 3.16

# 2
Material: Ag2P
Method: DFT, GGA-PBE
State: relaxed

N(E_F): 0.9 states/eV/f.u.
calculated total energy: -3.420 eV per atom
V: 17.26 Å³/atom

abc: 12.8905 12.8905 12.8905
angles: 161.88 161.88 25.73
Last column: nearest neighbours and their distance in Å.
Positions (direct):
Ag 0.1230 0.3730 0.7500  4 P 2.72-2.78, 8 Ag 2.87-3.01
Ag 0.2888 0.5388 0.7500  6 Ag 2.81-3.01, 6 P 2.89-3.04
Ag 0.3730 0.1230 0.2500  4 P 2.72-2.78, 8 Ag 2.87-3.01
Ag 0.4612 0.7112 0.7500  6 Ag 2.81-3.01, 6 P 2.89-3.04
Ag 0.5388 0.2888 0.2500  6 Ag 2.81-3.01, 6 P 2.89-3.04
Ag 0.6270 0.8770 0.7500  4 P 2.72-2.78, 8 Ag 2.87-3.01
Ag 0.7112 0.4612 0.2500  6 Ag 2.81-3.01, 6 P 2.89-3.04
Ag 0.8770 0.6270 0.2500  4 P 2.72-2.78, 8 Ag 2.87-3.01
P 0.0511 0.8011 0.2500  10 Ag 2.72-3.04
P 0.1989 0.9489 0.2500  10 Ag 2.72-3.04
P 0.8011 0.0511 0.7500  10 Ag 2.72-3.04
P 0.9489 0.1989 0.7500  10 Ag 2.72-3.04

# 3
Material: LiCaSe2
Method: DFT, GGA-PBE
State: relaxed

raw formation energy: -1.19 eV per atom
N(E_F): 2.0 states/eV/f.u.
V: 22.17 Å³/atom

abc: 5.1090 5.1090 5.1090
angles: 129.83 114.85 86.51
Last column: nearest neighbours and their distance in Å.
Positions (direct):
Li 0.0000 0.0000 0.0000  4 Se 2.77
Ca 0.5000 0.5000 0.0000  8 Se 2.94-3.25
Se 0.2325 0.7325 0.5000  2 Li 2.77, 2 Ca 2.94
Se 0.7675 0.2675 0.5000  2 Li 2.77, 2 Ca 2.94

# 4
Material: Nd3HoHg
Method: DFT, GGA-PBE
State: relaxed

N(E_F): 5.2 states/eV/f.u.
calculated total energy: -3.926 eV per atom
V: 33.06 Å³/atom

abc: 6.9022 6.9022 8.1014
angles: 107.81 107.81 67.02
Last column: nearest neighbours and their distance in Å.
Positions (direct):
Nd 0.0526 0.0526 0.2342  2 Hg 3.44-3.61, 7 Nd 3.54-3.65, 2 Ho 3.81
Nd 0.0906 0.5839 0.3542  2 Hg 3.28-3.29, 5 Nd 3.55-3.65, 3 Ho 3.55-3.58
Nd 0.4161 0.9094 0.6458  2 Hg 3.28-3.29, 5 Nd 3.55-3.65, 3 Ho 3.55-3.58
Nd 0.5839 0.0906 0.3542  2 Hg 3.28-3.29, 5 Nd 3.55-3.65, 3 Ho 3.55-3.58
Nd 0.9094 0.4161 0.6458  2 Hg 3.28-3.29, 5 Nd 3.55-3.65, 3 Ho 3.55-3.58
Nd 0.9474 0.9474 0.7658  2 Hg 3.44-3.61, 7 Nd 3.54-3.65, 2 Ho 3.81
Ho 0.4397 0.4397 0.7584  2 Hg 3.25-3.28, 6 Nd 3.55-3.58
Ho 0.5603 0.5603 0.2416  2 Hg 3.25-3.28, 6 Nd 3.55-3.58
Hg 0.2646 0.2646 0.9989  2 Ho 3.25-3.28, 6 Nd 3.28-3.61
Hg 0.7354 0.7354 0.0011  2 Ho 3.25-3.28, 6 Nd 3.28-3.61

# 5
Material: Pr2Al4CdCu3
Method: DFT, GGA-PBE
State: relaxed

N(E_F): 5.5 states/eV/f.u.
calculated total energy: -4.144 eV per atom
V: 19.47 Å³/atom

abc: 4.3077 4.3077 10.4927
angles: 90.00 90.00 90.00
Last column: nearest neighbours and their distance in Å.
Positions (direct):
Pr 0.0000 0.5000 0.2422  8 Al 3.26-3.33, 6 Cu 3.30-3.46, 2 Cd 3.46
Pr 0.5000 0.0000 0.7578  8 Al 3.26-3.33, 6 Cu 3.30-3.46, 2 Cd 3.46
Al 0.0000 0.0000 0.0000  4 Cu 2.50
Al 0.0000 0.5000 0.6483  3 Cu 2.42-2.66, 2 Cd 2.66
Al 0.5000 0.0000 0.3517  3 Cu 2.42-2.66, 2 Cd 2.66
Al 0.5000 0.5000 0.0000  4 Cu 2.50
Cd 0.0000 0.0000 0.5000  4 Al 2.66
Cu 0.0000 0.5000 0.8788  5 Al 2.42-2.50
Cu 0.5000 0.0000 0.1212  5 Al 2.42-2.50
Cu 0.5000 0.5000 0.5000  4 Al 2.66

# 6
Material: La3Tb2DyS6
Method: DFT, GGA-PBE
State: relaxed

raw formation energy: -2.09 eV per atom
N(E_F): 6.0 states/eV/f.u.
V: 23.26 Å³/atom

abc: 6.9560 6.9560 7.0613
angles: 99.46 99.46 120.12
Last column: nearest neighbours and their distance in Å.
Positions (direct):
La 0.0000 0.0000 0.0000  6 S 2.93-2.94
La 0.3328 0.6672 0.0000  6 S 2.93
La 0.6672 0.3328 0.0000  6 S 2.93
Tb 0.1666 0.8334 0.5000  6 S 2.78-2.79
Tb 0.8334 0.1666 0.5000  6 S 2.78-2.79
Dy 0.5000 0.5000 0.5000  6 S 2.77-2.78
S 0.0912 0.4233 0.2693  1 Dy 2.77, 2 Tb 2.78-2.79, 3 La 2.93
S 0.2449 0.2449 0.7312  1 Dy 2.78, 2 Tb 2.79, 3 La 2.93-2.94
S 0.4233 0.0912 0.2693  1 Dy 2.77, 2 Tb 2.78-2.79, 3 La 2.93
S 0.5767 0.9088 0.7307  1 Dy 2.77, 2 Tb 2.78-2.79, 3 La 2.93
S 0.7551 0.7551 0.2688  1 Dy 2.78, 2 Tb 2.79, 3 La 2.93-2.94
S 0.9088 0.5767 0.7307  1 Dy 2.77, 2 Tb 2.78-2.79, 3 La 2.93

# 7
Material: Li3PF
Method: DFT, GGA-PBE
State: relaxed

raw formation energy: -1.39 eV per atom
N(E_F): 2.6 states/eV/f.u.
V: 12.06 Å³/atom

abc: 3.9216 3.9216 3.9216
angles: 90.00 90.00 90.00
Last column: nearest neighbours and their distance in Å.
Positions (direct):
Li 0.0000 0.0000 0.5000  2 F 1.96
Li 0.0000 0.5000 0.0000  2 F 1.96
Li 0.5000 0.0000 0.0000  2 F 1.96
P 0.5000 0.5000 0.5000  12 Li 2.77
F 0.0000 0.0000 0.0000  6 Li 1.96

# 8
Material: SrCo3
Method: DFT, GGA-PBE
State: relaxed

N(E_F): 6.5 states/eV/f.u.
calculated total energy: -5.005 eV per atom
V: 19.66 Å³/atom

abc: 3.6102 3.6102 6.9686
angles: 90.00 90.00 120.00
Last column: nearest neighbours and their distance in Å.
Positions (direct):
Sr 0.0000 0.0000 0.0000  8 Co 3.14-3.48
Co 0.0000 0.0000 0.5000  6 Co 2.37
Co 0.3333 0.6667 0.3376  4 Co 2.26-2.37
Co 0.3333 0.6667 0.6624  4 Co 2.26-2.37

# 9
Material: Na3Ag5Br12
Method: DFT, GGA-PBE
State: relaxed

raw formation energy: -0.58 eV per atom
N(E_F): 12.8 states/eV/f.u.
V: 31.99 Å³/atom

abc: 14.9243 14.9243 14.9243
angles: 109.47 109.47 109.47
Last column: nearest neighbours and their distance in Å.
Positions (direct):
Na 0.1250 0.2500 0.3750  4 Br 3.06
Na 0.1250 0.3750 0.7500  4 Br 3.06
Na 0.2500 0.3750 0.1250  4 Br 3.06
Na 0.2500 0.8750 0.6250  4 Br 3.06
Na 0.3750 0.1250 0.2500  4 Br 3.06
Na 0.3750 0.7500 0.1250  4 Br 3.06
Na 0.6250 0.2500 0.8750  4 Br 3.06
Na 0.6250 0.8750 0.7500  4 Br 3.06
Na 0.7500 0.1250 0.3750  4 Br 3.06
Na 0.7500 0.6250 0.8750  4 Br 3.06
Na 0.8750 0.6250 0.2500  4 Br 3.06
Na 0.8750 0.7500 0.6250  4 Br 3.06
Ag 0.0000 0.0000 0.0000  6 Br 2.74
Ag 0.0000 0.0000 0.5000  6 Br 2.74
Ag 0.0000 0.5000 0.0000  6 Br 2.74
Ag 0.0000 0.5000 0.5000  6 Br 2.74
Ag 0.1250 0.7500 0.8750  4 Br 2.62
Ag 0.1250 0.8750 0.2500  4 Br 2.62
Ag 0.2500 0.1250 0.8750  4 Br 2.62
Ag 0.2500 0.6250 0.3750  4 Br 2.62
Ag 0.3750 0.2500 0.6250  4 Br 2.62
Ag 0.3750 0.6250 0.7500  4 Br 2.62
Ag 0.5000 0.0000 0.0000  6 Br 2.74
Ag 0.5000 0.0000 0.5000  6 Br 2.74
Ag 0.5000 0.5000 0.0000  6 Br 2.74
Ag 0.5000 0.5000 0.5000  6 Br 2.74
Ag 0.6250 0.3750 0.2500  4 Br 2.62
Ag 0.6250 0.7500 0.3750  4 Br 2.62
Ag 0.7500 0.3750 0.6250  4 Br 2.62
Ag 0.7500 0.8750 0.1250  4 Br 2.62
Ag 0.8750 0.1250 0.7500  4 Br 2.62
Ag 0.8750 0.2500 0.1250  4 Br 2.62
Br 0.0260 0.1948 0.1354  2 Ag 2.62-2.74
Br 0.0260 0.3312 0.8906  2 Ag 2.62-2.74
Br 0.0594 0.6948 0.6688  2 Ag 2.62-2.74
Br 0.0594 0.8646 0.3906  2 Ag 2.62-2.74
Br 0.1094 0.6354 0.4406  2 Ag 2.62-2.74
Br 0.1094 0.9740 0.6688  2 Ag 2.62-2.74
Br 0.1354 0.0260 0.1948  2 Ag 2.62-2.74
Br 0.1354 0.6094 0.9406  2 Ag 2.62-2.74
Br 0.1688 0.1948 0.5594  2 Ag 2.62-2.74
Br 0.1688 0.4740 0.6094  2 Ag 2.62-2.74
Br 0.1948 0.1354 0.0260  2 Ag 2.62-2.74
Br 0.1948 0.5594 0.1688  2 Ag 2.62-2.74
Br 0.3052 0.3312 0.9406  2 Ag 2.62-2.74
Br 0.3052 0.4740 0.3646  2 Ag 2.62-2.74
Br 0.3312 0.8906 0.0260  2 Ag 2.62-2.74
Br 0.3312 0.9406 0.3052  2 Ag 2.62-2.74
Br 0.3646 0.3052 0.4740  2 Ag 2.62-2.74
Br 0.3646 0.5594 0.8906  2 Ag 2.62-2.74
Br 0.3906 0.0594 0.8646  2 Ag 2.62-2.74
Br 0.3906 0.8312 0.5260  2 Ag 2.62-2.74
Br 0.4406 0.1094 0.6354  2 Ag 2.62-2.74
Br 0.4406 0.8312 0.8052  2 Ag 2.62-2.74
Br 0.4740 0.3646 0.3052  2 Ag 2.62-2.74
Br 0.4740 0.6094 0.1688  2 Ag 2.62-2.74
Br 0.5260 0.3906 0.8312  2 Ag 2.62-2.74
Br 0.5260 0.6354 0.6948  2 Ag 2.62-2.74
Br 0.5594 0.1688 0.1948  2 Ag 2.62-2.74
Br 0.5594 0.8906 0.3646  2 Ag 2.62-2.74
Br 0.6094 0.1688 0.4740  2 Ag 2.62-2.74
Br 0.6094 0.9406 0.1354  2 Ag 2.62-2.74
Br 0.6354 0.4406 0.1094  2 Ag 2.62-2.74
Br 0.6354 0.6948 0.5260  2 Ag 2.62-2.74
Br 0.6688 0.0594 0.6948  2 Ag 2.62-2.74
Br 0.6688 0.1094 0.9740  2 Ag 2.62-2.74
Br 0.6948 0.5260 0.6354  2 Ag 2.62-2.74
Br 0.6948 0.6688 0.0594  2 Ag 2.62-2.74
Br 0.8052 0.4406 0.8312  2 Ag 2.62-2.74
Br 0.8052 0.8646 0.9740  2 Ag 2.62-2.74
Br 0.8312 0.5260 0.3906  2 Ag 2.62-2.74
Br 0.8312 0.8052 0.4406  2 Ag 2.62-2.74
Br 0.8646 0.3906 0.0594  2 Ag 2.62-2.74
Br 0.8646 0.9740 0.8052  2 Ag 2.62-2.74
Br 0.8906 0.0260 0.3312  2 Ag 2.62-2.74
Br 0.8906 0.3646 0.5594  2 Ag 2.62-2.74
Br 0.9406 0.1354 0.6094  2 Ag 2.62-2.74
Br 0.9406 0.3052 0.3312  2 Ag 2.62-2.74
Br 0.9740 0.6688 0.1094  2 Ag 2.62-2.74
Br 0.9740 0.8052 0.8646  2 Ag 2.62-2.74

# 10
Material: CsLiTlCd2
Method: DFT, GGA-PBE
State: relaxed

N(E_F): 3.1 states/eV/f.u.
calculated total energy: -1.376 eV per atom
V: 33.45 Å³/atom

abc: 5.5339 5.5339 5.4620
angles: 90.00 90.00 90.00
Last column: nearest neighbours and their distance in Å.
Positions (direct):
Cs 0.0000 0.0000 0.0000  8 Cd 3.89, 4 Tl 3.91
Li 0.5000 0.5000 0.5000  2 Tl 2.73, 4 Cd 2.77
Tl 0.5000 0.5000 0.0000  2 Li 2.73
Cd 0.0000 0.5000 0.5000  2 Li 2.77
Cd 0.5000 0.0000 0.5000  2 Li 2.77